# 1
## TlSiSb2 (PBE)

Data for crystalline TlSiSb2 at its relaxed geometry.

## Properties
Raw formation energy in meV/atom: 433
E above lowest polymorph in eV/f.u.: 1.037

Unit cell a=3.917 b=5.096 c=5.121 alpha=90.00 beta=90.00 gamma=90.00
Atoms (fractional coordinates):
Tl1 0.000 0.000 0.000
Si1 0.500 0.000 0.500
Sb1 0.000 0.500 0.500
Sb2 0.500 0.500 0.000

# 2
## TeSeCl (PBE)

Data for crystalline TeSeCl at its relaxed geometry.

## Properties
Raw formation energy in meV/atom: -212
E above lowest polymorph in eV/f.u.: 0.116

Unit cell a=5.498 b=6.628 c=7.273 alpha=72.97 beta=83.48 gamma=81.38
Atoms (fractional coordinates):
Te1 0.000 0.000 0.000
Te2 0.130 0.153 0.292
Se1 0.319 0.705 0.898
Se2 0.444 0.415 0.154
Cl1 0.226 0.240 0.716
Cl2 0.837 0.751 0.306

# 3
## Li2YBPb (PBE)

Data for crystalline Li2YBPb at its relaxed geometry.

Unit cell a=5.562 b=5.562 c=4.541 alpha=90.00 beta=90.00 gamma=90.00
Atoms (fractional coordinates):
Li1 0.000 0.500 0.000
Li2 0.500 0.000 0.000
Y1 0.000 0.000 0.000
B1 0.000 0.000 0.500
Pb1 0.500 0.500 0.500

# 4
## LaCdHRhAu (PBE)

Data for crystalline LaCdHRhAu at its relaxed geometry.

## Properties
E above lowest polymorph in eV/f.u.: 0.418

Unit cell a=4.603 b=3.637 c=5.887 alpha=90.00 beta=106.59 gamma=90.00
Atoms (fractional coordinates):
La1 0.000 0.000 0.000
Cd1 0.325 0.500 0.591
H1 0.513 0.000 0.051
Rh1 0.525 0.500 0.105
Au1 0.787 0.000 0.470

# 5
## Ce5SnSb4 (PBE)

Data for crystalline Ce5SnSb4 at its relaxed geometry.

## Properties
Raw formation energy in meV/atom: -929

Unit cell a=7.794 b=7.794 c=7.794 alpha=99.59 beta=99.59 gamma=131.82
Atoms (fractional coordinates):
Ce1 0.000 0.000 0.000
Ce2 0.200 0.600 0.800
Ce3 0.400 0.200 0.599
Ce4 0.600 0.800 0.401
Ce5 0.800 0.400 0.200
Sn1 0.500 0.500 0.000
Sb1 0.100 0.300 0.400
Sb2 0.300 0.900 0.201
Sb3 0.700 0.100 0.799
Sb4 0.900 0.700 0.600

# 6
## CaNd2Zn (PBE)

Data for crystalline CaNd2Zn at its relaxed geometry.

## Properties
E above lowest polymorph in eV/f.u.: 0.463

Unit cell a=3.758 b=3.758 c=32.481 alpha=90.00 beta=90.00 gamma=120.00
Atoms (fractional coordinates):
Ca1 0.000 0.000 0.000
Ca2 0.333 0.667 0.667
Ca3 0.667 0.333 0.333
Nd1 0.000 0.000 0.568
Nd2 0.000 0.000 0.766
Nd3 0.333 0.667 0.235
Nd4 0.333 0.667 0.433
Nd5 0.667 0.333 0.099
Nd6 0.667 0.333 0.901
Zn1 0.000 0.000 0.167
Zn2 0.333 0.667 0.833
Zn3 0.667 0.333 0.500

# 7
## ZrCd2Si (PBE)

Data for crystalline ZrCd2Si at its relaxed geometry.

## Properties
Raw formation energy in meV/atom: -24

Unit cell a=4.208 b=5.063 c=7.746 alpha=90.00 beta=90.00 gamma=90.00
Atoms (fractional coordinates):
Zr1 0.000 0.000 0.000
Zr2 0.500 0.500 0.000
Cd1 0.000 0.000 0.560
Cd2 0.000 0.500 0.288
Cd3 0.500 0.000 0.288
Cd4 0.500 0.500 0.560
Si1 0.000 0.500 0.792
Si2 0.500 0.000 0.792

# 8
## CdHg2P (PBE)

Data for crystalline CdHg2P at its relaxed geometry.

## Properties
E above lowest polymorph in eV/f.u.: 0.247

Unit cell a=13.984 b=3.816 c=3.819 alpha=90.00 beta=105.56 gamma=90.00
Atoms (fractional coordinates):
Cd1 0.000 0.000 0.000
Cd2 0.500 0.500 0.000
Hg1 0.200 0.500 0.702
Hg2 0.300 0.000 0.298
Hg3 0.700 0.000 0.702
Hg4 0.800 0.500 0.298
P1 0.000 0.500 0.500
P2 0.500 0.000 0.500

# 9
## Mg2HOs (PBE)

Data for crystalline Mg2HOs at its relaxed geometry.

## Properties
E above lowest polymorph in eV/f.u.: 2.430

Unit cell a=5.775 b=5.775 c=6.713 alpha=90.00 beta=90.00 gamma=90.00
Atoms (fractional coordinates):
Mg1 0.138 0.250 0.125
Mg2 0.250 0.638 0.375
Mg3 0.250 0.862 0.875
Mg4 0.362 0.250 0.625
Mg5 0.638 0.750 0.625
Mg6 0.750 0.138 0.875
Mg7 0.750 0.362 0.375
Mg8 0.862 0.750 0.125
H1 0.000 0.000 0.000
H2 0.000 0.500 0.250
H3 0.500 0.000 0.750
H4 0.500 0.500 0.500
Os1 0.000 0.000 0.500
Os2 0.000 0.500 0.750
Os3 0.500 0.000 0.250
Os4 0.500 0.500 0.000

# 10
## TcAg2Ru (PBE)

Data for crystalline TcAg2Ru at its relaxed geometry.

## Properties
E above lowest polymorph in eV/f.u.: 1.597

Unit cell a=3.741 b=3.741 c=9.087 alpha=90.00 beta=90.00 gamma=90.00
Atoms (fractional coordinates):
Tc1 0.000 0.000 0.000
Tc2 0.500 0.500 0.500
Ag1 0.000 0.500 0.250
Ag2 0.000 0.500 0.750
Ag3 0.500 0.000 0.250
Ag4 0.500 0.000 0.750
Ru1 0.000 0.000 0.500
Ru2 0.500 0.500 0.000

# 11
## DyZnIn6 (PBE)

Data for crystalline DyZnIn6 at its relaxed geometry.

Unit cell a=9.576 b=9.615 c=4.293 alpha=90.00 beta=90.00 gamma=90.00
Atoms (fractional coordinates):
Dy1 0.000 0.000 0.000
Dy2 0.500 0.500 0.000
Zn1 0.000 0.500 0.000
Zn2 0.500 0.000 0.000
In1 0.000 0.264 0.500
In2 0.000 0.736 0.500
In3 0.235 0.500 0.500
In4 0.250 0.250 0.000
In5 0.250 0.750 0.000
In6 0.265 0.000 0.500
In7 0.500 0.236 0.500
In8 0.500 0.764 0.500
In9 0.735 0.000 0.500
In10 0.750 0.250 0.000
In11 0.750 0.750 0.000
In12 0.765 0.500 0.500

# 12
## GaCu2Ge2 (PBE)

Data for crystalline GaCu2Ge2 at its relaxed geometry.

## Properties
E above lowest polymorph in eV/f.u.: 0.000

Unit cell a=7.047 b=7.047 c=3.255 alpha=90.00 beta=90.00 gamma=90.00
Atoms (fractional coordinates):
Ga1 0.000 0.000 0.000
Ga2 0.500 0.500 0.000
Cu1 0.126 0.374 0.000
Cu2 0.374 0.874 0.000
Cu3 0.626 0.126 0.000
Cu4 0.874 0.626 0.000
Ge1 0.173 0.673 0.500
Ge2 0.327 0.173 0.500
Ge3 0.673 0.827 0.500
Ge4 0.827 0.327 0.500

# 13
## NdPtRh (PBE)

Data for crystalline NdPtRh at its relaxed geometry.

## Properties
E above lowest polymorph in eV/f.u.: 0.000

Unit cell a=5.449 b=5.478 c=7.743 alpha=90.00 beta=90.00 gamma=90.00
Atoms (fractional coordinates):
Nd1 0.000 0.250 0.126
Nd2 0.000 0.750 0.874
Nd3 0.500 0.250 0.374
Nd4 0.500 0.750 0.626
Pt1 0.250 0.250 0.750
Pt2 0.250 0.750 0.250
Pt3 0.750 0.250 0.750
Pt4 0.750 0.750 0.250
Rh1 0.000 0.000 0.500
Rh2 0.000 0.500 0.500
Rh3 0.500 0.000 0.000
Rh4 0.500 0.500 0.000

no.,electronic total energy (eV for the cell shown),theoretical density (g/cm3)
1,-14.301,7.7
2,-18.218,3.2
3,-15.469,3.8
4,-21.957,9.7
5,-59.452,6.7
6,-38.466,4.9
7,-31.795,6.9
8,-12.751,9.2
9,-62.008,7.1
10,-45.650,10.8
11,-46.554,7.7
12,-39.180,7.0
13,-83.142,12.7